Record 1
Compound: VF
Source: the Alexandria database
Functional: PBE with a Hubbard U
Structure: relaxed

a = 4.9267 Å, b = 4.9267 Å, c = 4.9267 Å
α = 90.00°, β = 90.00°, γ = 90.00°
Space group Fm-3m (No. 225)
Inequivalent atoms, fractional coordinates:
V  0.0000  0.0000  0.0000
F  0.0000  0.0000  0.5000

Summary:
Polymorph energy (0 for the lowest one), meV/atom: 420



Record 2
Compound: V3F
Source: the Alexandria database
Functional: PBE with a Hubbard U
Structure: relaxed

a = 3.6378 Å, b = 3.6378 Å, c = 11.1080 Å
α = 90.00°, β = 90.00°, γ = 90.00°
Space group I4/mmm (No. 139)
Inequivalent atoms, fractional coordinates:
V  0.0000  0.0000  0.0000
V  0.0000  0.5000  0.2500
F  0.0000  0.0000  0.5000

Summary:
Raw total energy, eV/atom: -5.1300



Record 3
Compound: VF4
Source: the Alexandria database
Functional: PBE with a Hubbard U
Structure: relaxed

a = 5.6665 Å, b = 5.2674 Å, c = 9.8233 Å
α = 90.00°, β = 90.34°, γ = 90.00°
Space group P2_1/c (No. 14)
Inequivalent atoms, fractional coordinates:
V  0.1395  0.0761  0.3683
F  0.0410  0.2164  0.7166
F  0.1724  0.6189  0.0383
F  0.2445  0.1509  0.9527
F  0.3876  0.5579  0.7909

Summary:
Raw total energy, eV/atom: -5.6127



| no. | magnetization (Bohr magnetons per cell) |
| --- | --- |
| 1 | 14.7 |
| 2 | 18.9 |
| 3 | 4.0 |